A plane-wave DFT calculation with PBE was carried out for a relaxed NdHo2Cu4Si4 crystal.

Summary:
As for the volume: 17.2 Å³/atom. The final energy comes out at -5.213 eV/atom. As for the space group: Immm. The value obtained for the magnetization is 0.00 μB per atom.

Unit cell a=7.9193 b=7.9193 c=7.9193 alpha=149.71 beta=130.52 gamma=59.12
With the nearest neighbours (Å) after each atom.
Element x y z (fractional)
Nd (0.0000, 0.0000, 0.0000)  6 Si 2.96-3.01
Ho (0.3703, 0.8703, 0.5000)  6 Si 2.94-2.98, 6 Cu 2.96-3.05
Ho (0.6297, 0.1297, 0.5000)  6 Si 2.94-2.98, 6 Cu 2.96-3.05
Cu (0.0214, 0.3313, 0.6901)  4 Si 2.48-2.57, 1 Cu 2.52
Cu (0.3588, 0.6687, 0.6901)  4 Si 2.48-2.57, 1 Cu 2.52
Cu (0.6412, 0.3313, 0.3099)  4 Si 2.48-2.57, 1 Cu 2.52
Cu (0.9786, 0.6687, 0.3099)  4 Si 2.48-2.57, 1 Cu 2.52
Si (0.2187, 0.2187, 0.0000)  6 Cu 2.52-2.57
Si (0.3201, 0.5000, 0.8201)  1 Si 2.39, 2 Cu 2.48
Si (0.6799, 0.5000, 0.1799)  1 Si 2.39, 2 Cu 2.48
Si (0.7813, 0.7813, 0.0000)  6 Cu 2.52-2.57